Compound: Rb2YCuBr6
Source: OQMD
Functional: PBE-GGA
Structure: relaxed

E = -147.644 eV per cell
calculated volume = 1321 Å³ per cell

Cell and atoms, written as CIF:
```
data_Rb2YCuBr6
_chemical_formula_sum 'Rb8 Y4 Cu4 Br24'
_space_group_name_H-M_alt 'F m -3 m'
_space_group_IT_number 225
_space_group_name_Hall '-F 4 2 3'
_cell_length_a 10.972
_cell_length_b 10.972
_cell_length_c 10.972
_cell_angle_alpha 90.00
_cell_angle_beta 90.00
_cell_angle_gamma 90.00
loop_
_atom_site_label
_atom_site_type_symbol
_atom_site_fract_x
_atom_site_fract_y
_atom_site_fract_z
Rb1 Rb 0.250 0.250 0.250
Y1 Y 0.000 0.000 0.000
Cu1 Cu 0.000 0.000 0.500
Br1 Br 0.000 0.000 0.255
```

Compound: Cu3S4Br
Source: OQMD
Functional: PBE-GGA
Structure: relaxed

E = -59.451 eV per cell
calculated volume = 332 Å³ per cell

Cell and atoms, written as CIF:
```
data_Cu3S4Br
_chemical_formula_sum 'Cu6 S8 Br2'
_space_group_name_H-M_alt 'I -4 2 m'
_space_group_IT_number 121
_space_group_name_Hall 'I -4 2'
_cell_length_a 5.399
_cell_length_b 5.399
_cell_length_c 11.376
_cell_angle_alpha 90.00
_cell_angle_beta 90.00
_cell_angle_gamma 90.00
loop_
_atom_site_label
_atom_site_type_symbol
_atom_site_fract_x
_atom_site_fract_y
_atom_site_fract_z
Cu1 Cu 0.000 0.000 0.000
Cu2 Cu 0.000 0.500 0.250
S1 S 0.140 0.140 0.175
Br1 Br 0.000 0.000 0.500
```

Compound: Cu3Se2S2Br
Source: OQMD
Functional: PBE-GGA
Structure: relaxed

E = -57.338 eV per cell
calculated volume = 352 Å³ per cell

Cell and atoms, written as CIF:
```
data_Cu3Se2S2Br
_chemical_formula_sum 'Cu6 Se4 S4 Br2'
_space_group_name_H-M_alt 'C 1 2 1'
_space_group_IT_number 5
_cell_length_a 12.047
_cell_length_b 5.563
_cell_length_c 5.535
_cell_angle_alpha 90.00
_cell_angle_beta 108.62
_cell_angle_gamma 90.00
loop_
_space_group_symop_operation_xyz
'x,y,z'
'-x,y,-z'
'x+1/2,y+1/2,z'
'-x+1/2,y+1/2,-z'
loop_
_atom_site_label
_atom_site_type_symbol
_atom_site_fract_x
_atom_site_fract_y
_atom_site_fract_z
Cu1 Cu 0.000 0.000 0.000
Cu2 Cu 0.247 0.159 0.744
Se1 Se 0.149 0.307 0.327
S1 S 0.189 0.013 0.066
Br1 Br 0.000 0.675 0.500
```

Compound: Cu3SeBr
Source: OQMD
Functional: PBE-GGA
Structure: relaxed

E = -131.161 eV per cell
calculated volume = 737 Å³ per cell

Cell and atoms, written as CIF:
```
data_Cu3SeBr
_chemical_formula_sum 'Cu24 Se8 Br8'
_space_group_name_H-M_alt 'C m c m'
_space_group_IT_number 63
_space_group_name_Hall '-C 2c 2'
_cell_length_a 8.814
_cell_length_b 9.035
_cell_length_c 9.251
_cell_angle_alpha 90.00
_cell_angle_beta 90.00
_cell_angle_gamma 90.00
loop_
_atom_site_label
_atom_site_type_symbol
_atom_site_fract_x
_atom_site_fract_y
_atom_site_fract_z
Cu1 Cu 0.000 0.244 0.108
Cu2 Cu 0.151 0.500 0.000
Cu3 Cu 0.242 0.153 0.750
Se1 Se 0.250 0.250 0.000
Br1 Br 0.000 0.001 0.750
Br2 Br 0.000 0.462 0.750
```

Compound: Tl2CuSnBr6
Source: OQMD
Functional: PBE-GGA
Structure: relaxed

E = -115.881 eV per cell
calculated volume = 1271 Å³ per cell

Cell and atoms, written as CIF:
```
data_Tl2CuSnBr6
_chemical_formula_sum 'Tl8 Cu4 Sn4 Br24'
_space_group_name_H-M_alt 'F m -3 m'
_space_group_IT_number 225
_space_group_name_Hall '-F 4 2 3'
_cell_length_a 10.833
_cell_length_b 10.833
_cell_length_c 10.833
_cell_angle_alpha 90.00
_cell_angle_beta 90.00
_cell_angle_gamma 90.00
loop_
_atom_site_label
_atom_site_type_symbol
_atom_site_fract_x
_atom_site_fract_y
_atom_site_fract_z
Tl1 Tl 0.250 0.250 0.250
Cu1 Cu 0.000 0.000 0.000
Sn1 Sn 0.000 0.000 0.500
Br1 Br 0.000 0.000 0.240
```

Compound: SrCu2Br8
Source: OQMD
Functional: PBE-GGA
Structure: relaxed

E = -29.310 eV per cell
calculated volume = 334 Å³ per cell

Cell and atoms, written as CIF:
```
data_SrCu2Br8
_chemical_formula_sum 'Sr1 Cu2 Br8'
_space_group_name_H-M_alt 'P 1'
_space_group_IT_number 1
_cell_length_a 7.254
_cell_length_b 7.276
_cell_length_c 7.958
_cell_angle_alpha 63.92
_cell_angle_beta 65.27
_cell_angle_gamma 89.87
loop_
_space_group_symop_operation_xyz
'x,y,z'
loop_
_atom_site_label
_atom_site_type_symbol
_atom_site_fract_x
_atom_site_fract_y
_atom_site_fract_z
Sr1 Sr 0.000 0.000 0.000
Cu1 Cu 0.247 0.756 0.503
Cu2 Cu 0.744 0.261 0.497
Br1 Br 0.046 0.537 0.263
Br2 Br 0.221 0.066 0.241
Br3 Br 0.288 0.463 0.769
Br4 Br 0.463 0.962 0.733
Br5 Br 0.536 0.706 0.251
Br6 Br 0.711 0.241 0.218
Br7 Br 0.764 0.295 0.775
Br8 Br 0.939 0.788 0.750
```

Copy entry 3 word for word.
Compound: Cu3Se2S2Br
Source: OQMD
Functional: PBE-GGA
Structure: relaxed

E = -57.338 eV per cell
calculated volume = 352 Å³ per cell

Cell and atoms, written as CIF:
```
data_Cu3Se2S2Br
_chemical_formula_sum 'Cu6 Se4 S4 Br2'
_space_group_name_H-M_alt 'C 1 2 1'
_space_group_IT_number 5
_cell_length_a 12.047
_cell_length_b 5.563
_cell_length_c 5.535
_cell_angle_alpha 90.00
_cell_angle_beta 108.62
_cell_angle_gamma 90.00
loop_
_space_group_symop_operation_xyz
'x,y,z'
'-x,y,-z'
'x+1/2,y+1/2,z'
'-x+1/2,y+1/2,-z'
loop_
_atom_site_label
_atom_site_type_symbol
_atom_site_fract_x
_atom_site_fract_y
_atom_site_fract_z
Cu1 Cu 0.000 0.000 0.000
Cu2 Cu 0.247 0.159 0.744
Se1 Se 0.149 0.307 0.327
S1 S 0.189 0.013 0.066
Br1 Br 0.000 0.675 0.500
```